Entry 1:
Computed, not measured: GaAs2Pd at its PBEsol-relaxed geometry at the meta-GGA SCAN level of DFT.

Cell: 5.4200 5.4200 7.1119 Å, 112.40 112.40 90.00°
Closest atoms and distances in Å follow each position.
Sites, in units of the cell vectors:
As 0.1250 0.1118 0.7500  2 Pd 2.39, 2 Ga 2.47
Ga 0.7500 0.2500 0.5000  4 As 2.47
Ga 0.5000 0.5000 0.0000  4 As 2.47
Pd 0.0000 0.0000 0.0000  4 As 2.39
Pd 0.2500 0.7500 0.5000  4 As 2.39
As 0.3618 0.8750 0.2500  2 Pd 2.39, 2 Ga 2.47
As 0.8882 0.3750 0.2500  2 Pd 2.39, 2 Ga 2.47
As 0.6250 0.6382 0.7500  2 Pd 2.39, 2 Ga 2.47

## Properties
For the density of states at the Fermi level, the calculation gives 3.10 states/eV/cell. As for the space group: I-42d (122). The calculated total energy comes out at -22.53 eV per atom.

Entry 2:
Computed, not measured: GaAsPd5 at its PBEsol-relaxed geometry at the meta-GGA SCAN level of DFT.

Cell: 3.9261 3.9261 6.8299 Å, 90.00 90.00 90.00°
Closest atoms and distances in Å follow each position.
Sites, in units of the cell vectors:
Pd 0.5000 0.0000 0.2789  2 As 2.48, 2 Ga 2.74, 2 Pd 2.74
As 0.0000 0.0000 0.5000  8 Pd 2.48
Ga 0.5000 0.5000 0.0000  12 Pd 2.74-2.78
Pd 0.0000 0.5000 0.7211  2 As 2.48, 2 Ga 2.74, 2 Pd 2.74
Pd 0.0000 0.0000 0.0000  8 Pd 2.74, 4 Ga 2.78
Pd 0.0000 0.5000 0.2789  2 As 2.48, 2 Ga 2.74, 2 Pd 2.74
Pd 0.5000 0.0000 0.7211  2 As 2.48, 2 Ga 2.74, 2 Pd 2.74

## Properties
For the density of states at the Fermi level, the calculation gives 0.89 states/eV/cell. As for the space group: P4/mmm (123). The calculated total energy comes out at -29.17 eV per atom.